First-principles (PBE) data for a relaxed structure of Tb3In2Pd4, as listed in Alexandria.

Properties
**D(E_F)**: 5.1 states/eV per cell
**ΔE_f**: -6.95 eV per formula unit

Cell lengths 4.5593, 5.3378, 8.9926 Å; angles 92.52, 90.00, 115.28 degrees
Sites, in units of the cell vectors:
Tb 0.3688 0.7377 0.6080
Tb 0.0000 0.0000 0.0000
Tb 0.6312 0.2623 0.3920
In 0.3284 0.6567 0.2156
In 0.6716 0.3433 0.7844
Pd 0.7051 0.4102 0.0900
Pd 0.0765 0.1530 0.6315
Pd 0.9235 0.8470 0.3684
Pd 0.2949 0.5898 0.9100